{"formula": "CsCrO4", "functional": "GGA+U", "state": "relaxed", "lattice": [[5.483, -0.138, 0.000], [2.034, 5.094, 0.000], [0.000, 0.000, 10.344]], "species": ["O", "O", "Cr", "O", "O", "Cs", "O", "O", "O", "Cs", "O", "Cr"], "frac_coords": [[0.278, 0.600, 0.250], [0.400, 0.722, 0.750], [0.405, 0.417, 0.750], [0.628, 0.747, 0.118], [0.253, 0.372, 0.618], [0.036, 0.964, 0.000], [0.628, 0.747, 0.382], [0.785, 0.286, 0.250], [0.714, 0.215, 0.750], [0.036, 0.964, 0.500], [0.253, 0.372, 0.882], [0.583, 0.595, 0.250]], "vol_a3_per_cell": 291.8, "dft_energy_ev_per_cell": -70.57, "crystal_system": "orthorhombic", "dos_at_fermi_per_ev_cell": 19.357}